[1]
Crystalline Ac4ErSe6 at its relaxed geometry, computed with PBE-GGA.

Geometry as extended XYZ:
```
22
Lattice="-4.000 -4.337 6.337 1.759 -7.442 -4.060 7.466 -0.665 4.334" Properties=species:S:1:pos:R:3 pbc="T T T"
Ac 0.610 -2.736 2.910
Ac -0.274 -5.885 6.111
Ac 1.070 -5.852 -0.410
Ac 5.039 -3.443 3.820
Ac 0.186 -9.001 2.791
Ac 4.155 -6.592 7.021
Ac 5.500 -6.560 0.499
Ac 4.615 -9.709 3.701
Er 2.613 -6.222 3.305
Er 0.000 0.000 0.000
Se -2.057 -3.513 4.479
Se 0.683 -2.686 -0.475
Se -0.121 -5.906 2.729
Se 1.551 -5.127 8.616
Se 2.423 -4.248 5.298
Se 3.244 -4.245 1.409
Se 1.982 -8.200 5.202
Se 2.802 -8.197 1.313
Se 3.674 -7.317 -2.005
Se 5.346 -6.539 3.882
Se 4.543 -9.758 7.086
Se 7.282 -8.932 2.132
```

The calculation puts the total energy at -5.665 eV per atom. The calculation puts the energy relative to the elements, uncorrected at -1.856 eV per atom. As for the space group: R-3c (167).

[2]
Crystalline HfPt3Rh at its relaxed geometry, computed with PBE-GGA.

Geometry as extended XYZ:
```
5
Lattice="4.761 0.000 0.000 0.000 4.761 0.000 0.000 0.000 4.761" Properties=species:S:1:pos:R:3 pbc="T T T"
Rh 0.000 0.000 0.000
Hf 2.381 2.381 2.381
Pt 0.000 2.381 0.000
Pt 0.000 0.000 2.381
Pt 2.381 0.000 0.000
```

The calculation puts the total energy at -6.166 eV per atom. The formation energy comes out at 4.600 eV/f.u. As for the space group: Pm-3m (221). As for the relative energy among the computed polymorphs: 143.17 kJ/mol of atoms.

[3]
Crystalline TmAg5Hg2 at its relaxed geometry, computed with PBE-GGA.

Geometry as extended XYZ:
```
16
Lattice="4.200 0.000 0.000 0.000 6.279 0.000 0.000 0.000 12.180" Properties=species:S:1:pos:R:3 pbc="T T T"
Tm 0.000 0.000 6.090
Tm 0.000 3.140 0.000
Ag 0.000 0.000 0.000
Ag 0.000 3.140 6.090
Ag 0.000 3.117 9.069
Ag 0.000 3.162 3.111
Ag 0.000 0.022 2.979
Ag 0.000 6.257 9.200
Ag 2.100 1.549 10.607
Ag 2.100 4.730 1.572
Ag 2.100 1.591 4.517
Ag 2.100 4.688 7.662
Hg 2.100 1.569 7.627
Hg 2.100 4.710 4.553
Hg 2.100 1.571 1.537
Hg 2.100 4.708 10.643
```

The calculation puts the total energy at -2.506 eV per atom. The formation energy comes out at -0.718 eV/f.u. As for the space group: Pbam (55).